! DyErAl, relaxed, DFT PBE; values from VASP
&SYSTEM
  ibrav = 0, nat = 3, ntyp = 3
/
ATOMIC_SPECIES
Dy 162.50 Dy.upf
Er 167.26 Er.upf
Al 26.98 Al.upf
CELL_PARAMETERS angstrom
1.720 0.993 7.884
-1.720 0.993 7.884
0.000 -1.986 7.884
ATOMIC_POSITIONS crystal
Dy 0.000 0.000 0.000
Er 0.792 0.792 0.792
Al 0.228 0.228 0.228
! Fermi-level density of states ... 3.72 states/eV/f.u.
! E_form ... -0.04 eV per atom
! Space-group type ... No. 160
! Raw total energy ... -4.338 eV per atom
! Crystal system ... trigonal